This record from the Alexandria database describes crystalline HfV3Rh at its relaxed geometry. The functional is PBE.

abc: 4.568 4.568 4.568
angles: 90.00 90.00 90.00
Space group Pm-3m (No. 221)
One atom of each set of equivalent atoms:
Hf: 0.000 0.000 0.000
V: 0.000 0.000 0.500
Rh: 0.500 0.500 0.500

Results
Energy = -7.187 eV/atom
Mass density = 7.6 g/cm3
M_tot = 0.64 μB/atom
Excess energy over the best structure of this formula in the dataset = 913.3 meV per atom
E_form = 1.746 eV per atom

=====

This record from the Alexandria database describes crystalline K2InW at its relaxed geometry. The functional is PBE.

abc: 12.520 3.041 5.386
angles: 90.00 97.83 90.00
Space group C2/m (No. 12)
One atom of each set of equivalent atoms:
K: 0.247 0.000 0.251
In: 0.000 0.500 0.000
W: 0.000 0.000 0.500

Results
Energy = -3.318 eV/atom
Mass density = 6.2 g/cm3
M_tot = 0.23 μB/atom
E_form = 1.153 eV per atom

=====

This record from the Alexandria database describes crystalline LaMgAsRu2 at its relaxed geometry. The functional is PBE.

abc: 4.752 4.752 5.684
angles: 90.00 90.00 90.00
Space group P4/mmm (No. 123)
One atom of each set of equivalent atoms:
La: 0.000 0.000 0.000
Mg: 0.000 0.000 0.500
As: 0.500 0.500 0.500
Ru: 0.000 0.500 0.000

Results
Energy = -4.477 eV/atom
Mass density = 5.7 g/cm3
M_tot = 0.22 μB/atom
E_form = 1.467 eV per atom

=====

This record from the Alexandria database describes crystalline NaHoAuSe2 at its relaxed geometry. The functional is PBE.

abc: 6.978 4.927 7.670
angles: 90.00 97.03 90.00
Space group P2/c (No. 13)
One atom of each set of equivalent atoms:
Na: 0.000 0.102 0.250
Ho: 0.500 0.495 0.750
Au: 0.500 0.000 0.000
Se: 0.218 0.345 0.972

Results
Energy = -4.247 eV/atom
Mass density = 6.9 g/cm3
M_tot = 0.00 μB/atom
Formation energy (no corrections) = -5.1 eV/f.u.

=====

This record from the Alexandria database describes crystalline CeThSn2 at its relaxed geometry. The functional is PBE.

abc: 4.995 4.995 4.497
angles: 90.00 90.00 90.00
Space group P4/mmm (No. 123)
One atom of each set of equivalent atoms:
Ce: 0.000 0.000 0.000
Th: 0.500 0.500 0.000
Sn: 0.000 0.500 0.500

Results
Energy = -5.887 eV/atom
Mass density = 9.0 g/cm3
M_tot = 0.22 μB/atom
E_form = -0.547 eV per atom

=====

This record from the Alexandria database describes crystalline FeNi2As at its relaxed geometry. The functional is PBE.

abc: 2.7378 2.7378 23.2610
angles: 90.00 90.00 120.00
Space group R3m (No. 160, hexagonal axes)
One atom of each set of equivalent atoms:
Fe: 0.0000 0.0000 0.0000
Ni: 0.0000 0.0000 0.5004
Ni: 0.0000 0.0000 0.7482
As: 0.0000 0.0000 0.2468

Results
Energy = -6.003 eV/atom
Mass density = 8.2 g/cm3
M_tot = 0.75 μB/atom
E_form = 0.166 eV per atom

=====

This record from the Alexandria database describes crystalline CsP2Pt2 at its relaxed geometry. The functional is PBE.

abc: 6.433 6.433 12.504
angles: 90.00 90.00 90.00
Space group I4_1md (No. 109)
One atom of each set of equivalent atoms:
Cs: 0.000 0.000 0.000
P: 0.000 0.191 0.488
Pt: 0.000 0.211 0.669

Results
Energy = -5.116 eV/atom
Mass density = 7.5 g/cm3
M_tot = 0.00 μB/atom
E_form = -0.365 eV per atom

=====

This record from the Alexandria database describes crystalline HoHfIrOs at its relaxed geometry. The functional is PBE.

abc: 6.653 6.653 6.653
angles: 90.00 90.00 90.00
Space group F-43m (No. 216)
One atom of each set of equivalent atoms:
Ho: 0.000 0.000 0.000
Hf: 0.000 0.000 0.500
Ir: 0.250 0.250 0.750
Os: 0.250 0.250 0.250

Results
Energy = -9.297 eV/atom
Mass density = 16.4 g/cm3
M_tot = 0.00 μB/atom
E_form = -0.641 eV per atom